# Al2InPt9

A relaxed Al2InPt9 crystal (PBE, the Alexandria database).

Lattice parameters (Å, degrees): 3.965 3.965 11.901 90.00 90.00 90.00
Element x y z (fractional)
Pt 0.000 0.500 0.178
Pt 0.000 0.500 0.822
Pt 0.500 0.000 0.500
Pt 0.000 0.500 0.500
Pt 0.500 0.500 0.339
Pt 0.500 0.000 0.178
Pt 0.500 0.500 0.661
Pt 0.500 0.500 0.000
Pt 0.500 0.000 0.822
In 0.000 0.000 0.000
Al 0.000 0.000 0.335
Al 0.000 0.000 0.665

Summary:
- Crystal system: tetragonal
- Size of the total moment: 0.0 μB per cell
- Calculated formation energy: -56.9 kJ per mole of atoms